# 1
K3RbBi | PBE-GGA | optimized geometry

a = 6.785 Å, b = 6.785 Å, c = 6.785 Å
α = 90.00°, β = 90.00°, γ = 90.00°
Sites, in units of the cell vectors:
K 0.000 0.000 0.500
K 0.000 0.500 0.000
K 0.500 0.000 0.000
Rb 0.000 0.000 0.000
Bi 0.500 0.500 0.500

## Properties
- crystal system = cubic
- distance to the lowest polymorph of the same formula (meV/atom) = 639
- Fermi-level density of states (states/eV/cell) = 6.81
- formation energy (meV/atom) = 453.2

***

# 2
Ca2NbZnIr | PBE-GGA | optimized geometry

a = 5.350 Å, b = 5.350 Å, c = 4.817 Å
α = 90.00°, β = 90.00°, γ = 90.00°
Sites, in units of the cell vectors:
Ca 0.000 0.500 0.000
Ca 0.500 0.000 0.000
Nb 0.000 0.000 0.000
Zn 0.000 0.000 0.500
Ir 0.500 0.500 0.500

## Properties
- crystal system = tetragonal
- Fermi-level density of states (states/eV/cell) = 5.88
- formation energy (meV/atom) = 1526.9

***

# 3
RbSi2Br | PBE-GGA | optimized geometry

a = 5.400 Å, b = 5.400 Å, c = 5.400 Å
α = 60.00°, β = 60.00°, γ = 60.00°
Sites, in units of the cell vectors:
Rb 0.000 0.000 0.000
Si 0.250 0.250 0.250
Si 0.750 0.750 0.750
Br 0.500 0.500 0.500

## Properties
- crystal system = cubic
- distance to the lowest polymorph of the same formula (meV/atom) = 858
- ΔE_f (raw) (eV/atom) = 0.9714
- Fermi-level density of states (states/eV/cell) = 6.02

***

# 4
Cd2HgRu | PBE-GGA | optimized geometry

a = 4.747 Å, b = 4.747 Å, c = 4.747 Å
α = 60.00°, β = 60.00°, γ = 60.00°
Sites, in units of the cell vectors:
Cd 0.000 0.000 0.000
Cd 0.250 0.250 0.250
Hg 0.750 0.750 0.750
Ru 0.500 0.500 0.500

## Properties
- crystal system = cubic
- Fermi-level density of states (states/eV/cell) = 3.29
- formation energy (meV/atom) = 364.1

***

# 5
Er4TlPd12 | PBE-GGA | optimized geometry

a = 7.409 Å, b = 7.409 Å, c = 7.409 Å
α = 109.47°, β = 109.47°, γ = 109.47°
Sites, in units of the cell vectors:
Er 0.000 0.000 0.500
Er 0.000 0.500 0.000
Er 0.500 0.000 0.000
Er 0.500 0.500 0.500
Tl 0.000 0.000 0.000
Pd 0.000 0.303 0.303
Pd 0.000 0.697 0.697
Pd 0.250 0.500 0.750
Pd 0.250 0.750 0.500
Pd 0.303 0.000 0.303
Pd 0.303 0.303 0.000
Pd 0.500 0.250 0.750
Pd 0.500 0.750 0.250
Pd 0.697 0.000 0.697
Pd 0.697 0.697 0.000
Pd 0.750 0.250 0.500
Pd 0.750 0.500 0.250

## Properties
- crystal system = cubic
- Fermi-level density of states (states/eV/cell) = 5.32
- formation energy (meV/atom) = -763.6

***

# 6
BeIr2Ru | PBE-GGA | optimized geometry

a = 3.788 Å, b = 3.788 Å, c = 3.728 Å
α = 90.00°, β = 90.00°, γ = 90.00°
Sites, in units of the cell vectors:
Be 0.000 0.000 0.000
Ir 0.000 0.500 0.500
Ir 0.500 0.000 0.500
Ru 0.500 0.500 0.000

## Properties
- crystal system = tetragonal
- Fermi-level density of states (states/eV/cell) = 5.60
- formation energy (meV/atom) = 79.0

***

# 7
InPt2W | PBE-GGA | optimized geometry

a = 7.395 Å, b = 7.395 Å, c = 7.395 Å
α = 134.30°, β = 134.30°, γ = 66.63°
Sites, in units of the cell vectors:
In 0.000 0.000 0.000
In 0.750 0.250 0.500
Pt 0.156 0.625 0.031
Pt 0.375 0.406 0.531
Pt 0.594 0.125 0.969
Pt 0.875 0.844 0.469
W 0.250 0.750 0.500
W 0.500 0.500 0.000

## Properties
- crystal system = tetragonal
- Fermi-level density of states (states/eV/cell) = 4.97
- formation energy (meV/atom) = 547.7

***

# 8
GdInIr4 | PBE-GGA | optimized geometry

a = 5.333 Å, b = 5.333 Å, c = 5.333 Å
α = 60.00°, β = 60.00°, γ = 60.00°
Sites, in units of the cell vectors:
Gd 0.000 0.000 0.000
In 0.750 0.750 0.750
Ir 0.375 0.375 0.375
Ir 0.375 0.375 0.874
Ir 0.375 0.874 0.375
Ir 0.874 0.375 0.375

## Properties
- crystal system = cubic
- Fermi-level density of states (states/eV/cell) = 7.60
- formation energy (meV/atom) = -370.0